# PBE HoEr5Sc2, optimized geometry
# Final energy (eV/f.u.): -39.908
# Density (Mg/m³): 7.7
# Volume (A^3/atom): 29.3
data_HoEr5Sc2
_space_group_name_H-M_alt 'F m m 2'
_space_group_IT_number 42
_space_group_name_Hall 'F 2 -2'
_cell_length_a 7.047
_cell_length_b 10.932
_cell_length_c 12.173
_cell_angle_alpha 90.00
_cell_angle_beta 90.00
_cell_angle_gamma 90.00
loop_
_atom_site_label
_atom_site_type_symbol
_atom_site_fract_x
_atom_site_fract_y
_atom_site_fract_z
Ho1 Ho 0.000 0.000 0.000
Er1 Er 0.000 0.000 0.500
Er2 Er 0.250 0.000 0.247
Er3 Er 0.250 0.250 0.416
Sc1 Sc 0.000 0.250 0.164

---

# PBE Ho10ErSc2, optimized geometry
# Final energy (eV/f.u.): -59.548
# Density (Mg/m³): 7.7
# Volume (A^3/atom): 31.7
data_Ho10ErSc2
_space_group_name_H-M_alt 'F m m m'
_space_group_IT_number 69
_space_group_name_Hall '-F 2 2'
_cell_length_a 6.432
_cell_length_b 15.108
_cell_length_c 16.988
_cell_angle_alpha 90.00
_cell_angle_beta 90.00
_cell_angle_gamma 90.00
loop_
_atom_site_label
_atom_site_type_symbol
_atom_site_fract_x
_atom_site_fract_y
_atom_site_fract_z
Ho1 Ho 0.000 0.105 0.098
Ho2 Ho 0.000 0.180 0.339
Ho3 Ho 0.250 0.000 0.250
Er1 Er 0.000 0.000 0.500
Sc1 Sc 0.250 0.250 0.000